Crystalline Be2WCl at its relaxed geometry. Source: Alexandria, functional GGA-PBEsol.

Properties
Formation energy without anion corrections, eV per atom: 0.4900
Calculated volume, A^3/atom: 14.574
D(E_F), states/eV/f.u.: 2.69
Energy, eV/f.u.: -21.856

a = 2.7985 Å, b = 2.7985 Å, c = 7.4439 Å
α = 90.00°, β = 90.00°, γ = 90.00°
Closest atoms and distances in Å follow each position.
Space group P4mm (No. 99)
Symmetry-distinct sites (fractional):
Be  0.0000  0.0000  0.0000  4 Be 2.20
Be  0.5000  0.5000  0.1301  4 Be 2.20
W  0.5000  0.5000  0.7883  5 Be 2.53-2.54, 4 Cl 2.60, 4 W 2.80
Cl  0.0000  0.0000  0.5621  4 W 2.60, 4 Cl 2.80